Entry 1:
## Th2Tl4Hg (PBE)

Data for crystalline Th2Tl4Hg at its relaxed geometry.

The magnetic moment comes out at 0.0 μB/cell. Its space-group type is I4/mmm (139). Its total energy is -3.359 eV per atom. Its formation energy is 0.16 eV/atom.

abc: 7.566 7.566 7.566
angles: 133.59 133.59 67.74
Sites, in units of the cell vectors:
Th: 0.147 0.147 0.000
Th: 0.853 0.853 0.000
Tl: 0.000 0.500 0.500
Tl: 0.250 0.750 0.500
Tl: 0.500 0.000 0.500
Tl: 0.750 0.250 0.500
Hg: 0.500 0.500 0.000


Entry 2:
## Th4TlHg5 (PBE)

Data for crystalline Th4TlHg5 at its relaxed geometry.

The magnetic moment comes out at 0.0 μB/cell. Its space-group type is P4/mmm (123). Its total energy is -3.529 eV per atom. Its formation energy is -0.17 eV/atom.

abc: 3.509 3.509 22.214
angles: 90.00 90.00 90.00
Sites, in units of the cell vectors:
Th: 0.000 0.000 0.102
Th: 0.000 0.000 0.304
Th: 0.000 0.000 0.696
Th: 0.000 0.000 0.898
Tl: 0.000 0.000 0.500
Hg: 0.500 0.500 0.000
Hg: 0.500 0.500 0.203
Hg: 0.500 0.500 0.403
Hg: 0.500 0.500 0.597
Hg: 0.500 0.500 0.797


Entry 3:
## Th3TlHg5 (PBE)

Data for crystalline Th3TlHg5 at its relaxed geometry.

The magnetic moment comes out at 0.0 μB/cell. Its space-group type is P6_3/mcm (193). Its total energy is -3.114 eV per atom. Its formation energy is -0.21 eV/atom.

abc: 9.214 9.214 6.591
angles: 90.00 90.00 120.00
Sites, in units of the cell vectors:
Th: 0.000 0.338 0.250
Th: 0.000 0.662 0.750
Th: 0.338 0.000 0.250
Th: 0.338 0.338 0.750
Th: 0.662 0.000 0.750
Th: 0.662 0.662 0.250
Tl: 0.000 0.000 0.000
Tl: 0.000 0.000 0.500
Hg: 0.000 0.331 0.750
Hg: 0.000 0.669 0.250
Hg: 0.331 0.000 0.750
Hg: 0.331 0.331 0.250
Hg: 0.333 0.667 0.000
Hg: 0.333 0.667 0.500
Hg: 0.667 0.333 0.000
Hg: 0.667 0.333 0.500
Hg: 0.669 0.000 0.250
Hg: 0.669 0.669 0.750


Copy entry 1 word for word.
## Th2Tl4Hg (PBE)

Data for crystalline Th2Tl4Hg at its relaxed geometry.

The magnetic moment comes out at 0.0 μB/cell. Its space-group type is I4/mmm (139). Its total energy is -3.359 eV per atom. Its formation energy is 0.16 eV/atom.

abc: 7.566 7.566 7.566
angles: 133.59 133.59 67.74
Sites, in units of the cell vectors:
Th: 0.147 0.147 0.000
Th: 0.853 0.853 0.000
Tl: 0.000 0.500 0.500
Tl: 0.250 0.750 0.500
Tl: 0.500 0.000 0.500
Tl: 0.750 0.250 0.500
Hg: 0.500 0.500 0.000